Below is a relaxed ErScAu4 crystal, with properties calculated at the PBE-GGA level.

POSCAR file:
```
ErScAu4
1.0
3.6406 0.0000 0.0000
0.0000 3.6406 0.0000
0.0000 0.0000 8.9587
Er Sc Au
1 1 4
Cartesian
0.0000 0.0000 0.0000 Er
1.8203 1.8203 4.4794 Sc
0.0000 0.0000 3.0556 Au
0.0000 0.0000 5.9031 Au
1.8203 1.8203 1.5260 Au
1.8203 1.8203 7.4328 Au
```

Symmetry = No. 123
E_tot = -4.84 eV per atom
E_form = -837 meV/atom